Entry 1:
Density functional theory data (PBEsol) for a relaxed CoBi2B crystal.

Output
Calculated formation energy, eV per atom: 0.8603

abc: 5.8115 5.8115 6.6730
angles: 115.81 115.81 90.00
Last column: nearest neighbours and their distance in Å.
Element x y z (fractional)
Bi  0.3944  0.8750  0.2500  2 B 2.37, 2 Co 2.51
Bi  0.8556  0.3750  0.2500  2 B 2.37, 2 Co 2.51
Bi  0.6250  0.6056  0.7500  2 B 2.37, 2 Co 2.51
Bi  0.1250  0.1444  0.7500  2 B 2.37, 2 Co 2.51
Co  0.2500  0.7500  0.5000  4 Bi 2.51
Co  0.0000  0.0000  0.0000  4 Bi 2.51
B  0.5000  0.5000  0.0000  4 Bi 2.37
B  0.7500  0.2500  0.5000  4 Bi 2.37


Entry 2:
Density functional theory data (PBEsol) for a relaxed MgTe2PdN crystal.

Output
Formation energy (no corrections), meV per atom: 793

abc: 3.7018 5.3889 5.3889
angles: 90.00 90.00 90.00
Last column: nearest neighbours and their distance in Å.
Element x y z (fractional)
Te  0.0000  0.5000  0.0000  2 Mg 2.69
Te  0.0000  0.0000  0.5000  2 Mg 2.69
N  0.5000  0.0000  0.0000  2 Mg 1.85
Mg  0.0000  0.0000  0.0000  2 N 1.85
Pd  0.5000  0.5000  0.5000  8 Te 3.27


Entry 3:
Density functional theory data (PBEsol) for a relaxed NaCaMgCrSi4O12 crystal.

Output
Formation energy (no corrections), meV per atom: -2721

abc: 5.2752 6.5399 6.5399
angles: 84.59 77.69 77.69
Last column: nearest neighbours and their distance in Å.
Element x y z (fractional)
O  0.2490  0.6259  0.6603  2 Si 1.67
O  0.0585  0.8976  0.3802  1 Si 1.61
O  0.0980  0.1975  0.0318  1 Si 1.63
O  0.2490  0.3617  0.3367  2 Si 1.66-1.68
O  0.9020  0.9682  0.8025  1 Si 1.63
O  0.7510  0.3397  0.3741  2 Si 1.67
O  0.6241  0.0298  0.1962  1 Si 1.63
O  0.4335  0.1071  0.6161  1 Si 1.60
O  0.3759  0.8038  0.9702  1 Si 1.63
O  0.9415  0.6198  0.1024  1 Si 1.61
O  0.5665  0.3839  0.8929  1 Si 1.60
O  0.7510  0.6633  0.6383  2 Si 1.66-1.68
Ca  0.0000  0.3026  0.6974  6 O 2.35-2.48
Si  0.4757  0.6187  0.8049  4 O 1.60-1.68
Si  0.0159  0.3841  0.1973  4 O 1.61-1.67
Si  0.9841  0.8027  0.6159  4 O 1.61-1.67
Si  0.5243  0.1951  0.3813  4 O 1.60-1.68
Na  0.5000  0.7022  0.2978  6 O 2.37-2.52
Cr  0.0000  0.9072  0.0928  6 O 1.96-2.05
Mg  0.5000  0.0892  0.9108  6 O 2.02-2.09


Entry 4:
Density functional theory data (PBEsol) for a relaxed ZnTc3Pd crystal.

Output
Excess energy over the best structure of this formula in the dataset, eV/atom: 0.443
Calculated formation energy, eV per atom: 2.2571

abc: 4.6002 4.6002 4.6002
angles: 90.00 90.00 90.00
Last column: nearest neighbours and their distance in Å.
Element x y z (fractional)
Tc  0.0000  0.0000  0.5000  2 Pd 2.30
Tc  0.5000  0.0000  0.0000  2 Pd 2.30
Tc  0.0000  0.5000  0.0000  2 Pd 2.30
Zn  0.5000  0.5000  0.5000  12 Tc 3.25
Pd  0.0000  0.0000  0.0000  6 Tc 2.30


Entry 5:
Density functional theory data (PBEsol) for a relaxed Pt2PbO4 crystal.

Output
Formation energy (no corrections), meV per atom: -750

abc: 5.5471 6.1354 6.6508
angles: 115.71 96.91 108.85
Last column: nearest neighbours and their distance in Å.
Element x y z (fractional)
Pt  0.5000  0.0000  0.5000  4 O 2.02
Pt  0.5000  0.5000  0.0000  4 O 1.99
Pt  0.5000  0.5000  0.5000  6 O 2.00-2.02
Pt  0.0000  0.0000  0.5000  4 O 1.98-2.00
O  0.1248  0.3433  0.5042  2 Pt 1.98-2.00
O  0.8752  0.6567  0.4958  2 Pt 1.98-2.00
O  0.5209  0.8617  0.7242  2 Pt 2.02
O  0.3645  0.6055  0.2756  3 Pt 1.99-2.02
O  0.4791  0.1383  0.2758  2 Pt 2.02
O  0.1635  0.1660  0.8442  2 Pt 1.99-2.00
O  0.6355  0.3945  0.7244  3 Pt 1.99-2.02
O  0.8365  0.8340  0.1558  2 Pt 1.99-2.00
Pb  0.1431  0.7513  0.8631  6 O 2.41-2.69
Pb  0.8569  0.2487  0.1369  6 O 2.41-2.69


Entry 6:
Density functional theory data (PBEsol) for a relaxed RbCdF2 crystal.

Output
Formation energy (no corrections), meV per atom: -1655

abc: 4.6390 4.6390 4.6390
angles: 60.00 60.00 60.00
Last column: nearest neighbours and their distance in Å.
Element x y z (fractional)
F  0.7500  0.7500  0.7500  4 Cd 2.84, 4 Rb 2.84
F  0.2500  0.2500  0.2500  4 Cd 2.84, 4 Rb 2.84
Rb  0.0000  0.0000  0.0000  8 F 2.84
Cd  0.5000  0.5000  0.5000  8 F 2.84


Entry 7:
Density functional theory data (PBEsol) for a relaxed MgPdN3 crystal.

Output
Formation energy (no corrections), meV per atom: 1969

abc: 3.8523 3.8523 3.8523
angles: 90.00 90.00 90.00
Last column: nearest neighbours and their distance in Å.
Element x y z (fractional)
Mg  0.0000  0.0000  0.0000  6 N 1.93
N  0.0000  0.0000  0.5000  2 Mg 1.93
N  0.0000  0.5000  0.0000  2 Mg 1.93
N  0.5000  0.0000  0.0000  2 Mg 1.93
Pd  0.5000  0.5000  0.5000  12 N 2.72


Entry 8:
Density functional theory data (PBEsol) for a relaxed Be2NiRu crystal.

Output
Calculated formation energy, eV per atom: -0.0666

abc: 2.5803 2.5803 7.3149
angles: 79.84 79.84 60.00
Last column: nearest neighbours and their distance in Å.
Element x y z (fractional)
Be  0.7536  0.7536  0.7393  3 Ni 2.27, 3 Ru 2.39
Be  0.2464  0.2464  0.2607  3 Ni 2.27, 3 Ru 2.39
Ru  0.0000  0.0000  0.0000  6 Be 2.39, 6 Ru 2.58
Ni  0.5000  0.5000  0.5000  6 Be 2.27


Entry 9:
Density functional theory data (PBEsol) for a relaxed KBaOs crystal.

Output
Excess energy over the best structure of this formula in the dataset, eV/atom: 0.008
Calculated formation energy, eV per atom: 1.2174

abc: 2.8942 5.4899 5.4899
angles: 120.00 90.00 90.00
Last column: nearest neighbours and their distance in Å.
Element x y z (fractional)
K  0.8353  0.3333  0.6667  2 K 2.89, 3 Ba 3.17
Ba  0.8320  0.0000  0.0000  2 Ba 2.89, 3 K 3.17
Os  0.3326  0.6667  0.3333  2 Os 2.89


Entry 10:
Density functional theory data (PBEsol) for a relaxed Ce2Bi crystal.

Output
Calculated formation energy, eV per atom: -0.4953

abc: 4.4501 4.4501 9.3350
angles: 103.79 103.79 90.00
Last column: nearest neighbours and their distance in Å.
Element x y z (fractional)
Bi  0.8611  0.8611  0.7221  9 Ce 3.21-3.30
Bi  0.1389  0.1389  0.2779  9 Ce 3.21-3.30
Ce  0.3249  0.3249  0.6499  5 Bi 3.21-3.27
Ce  0.5000  0.0000  0.0000  4 Ce 3.15, 4 Bi 3.30
Ce  0.0000  0.5000  0.0000  4 Ce 3.15, 4 Bi 3.30
Ce  0.6751  0.6751  0.3501  5 Bi 3.21-3.27


Entry 11:
Density functional theory data (PBEsol) for a relaxed TcW2Cl crystal.

Output
Excess energy over the best structure of this formula in the dataset, eV/atom: 0.664
Formation energy (no corrections), meV per atom: 1066

abc: 4.4196 4.4196 4.4196
angles: 60.00 60.00 60.00
Last column: nearest neighbours and their distance in Å.
Element x y z (fractional)
W  0.7500  0.7500  0.7500  4 W 2.71, 4 Cl 2.71
W  0.0000  0.0000  0.0000  4 Tc 2.71, 4 W 2.71
Cl  0.5000  0.5000  0.5000  4 W 2.71, 4 Tc 2.71
Tc  0.2500  0.2500  0.2500  4 Cl 2.71, 4 W 2.71